! MnFe2Ir GGA-PBE optimized geometry; values from VASP
&SYSTEM
  ibrav = 0, nat = 4, ntyp = 3
/
ATOMIC_SPECIES
Mn 54.94 Mn.upf
Fe 55.84 Fe.upf
Ir 192.22 Ir.upf
CELL_PARAMETERS angstrom
2.6057 0.0000 0.0000
0.0000 3.6973 0.0000
0.0000 0.0000 5.1640
ATOMIC_POSITIONS angstrom
Mn 0.0000 0.0000 0.0000
Fe 1.3029 1.8487 1.2625
Fe 1.3029 1.8487 3.9015
Ir 0.0000 0.0000 2.5820
! **Crystal system**: orthorhombic
! **Total magnetization**: 1.80 μB/f.u.
! **Electronic total energy**: -8.756 eV/atom
! **N(E_F)**: 3.961 states/eV/f.u.

! Mn2FeIr GGA-PBE optimized geometry; values from VASP
&SYSTEM
  ibrav = 0, nat = 4, ntyp = 3
/
ATOMIC_SPECIES
Mn 54.94 Mn.upf
Fe 55.84 Fe.upf
Ir 192.22 Ir.upf
CELL_PARAMETERS angstrom
-1.8221 1.8221 3.7019
1.8221 -1.8221 3.7019
1.8221 1.8221 -3.7019
ATOMIC_POSITIONS angstrom
Mn 0.0000 0.0000 0.0000
Mn 0.0000 1.8221 1.8510
Fe 1.8221 0.0000 1.8510
Ir 0.0000 0.0000 3.7019
! **Crystal system**: tetragonal
! **Total magnetization**: 0.83 μB/f.u.
! **Electronic total energy**: -9.044 eV/atom
! **Relative energy among the computed polymorphs**: 0.000 eV/f.u.
! **N(E_F)**: 3.275 states/eV/f.u.

! Mn2Fe2Ir GGA-PBE optimized geometry; values from VASP
&SYSTEM
  ibrav = 0, nat = 10, ntyp = 3
/
ATOMIC_SPECIES
Mn 54.94 Mn.upf
Fe 55.84 Fe.upf
Ir 192.22 Ir.upf
CELL_PARAMETERS angstrom
6.6376 0.0000 0.0000
0.0000 6.6376 0.0000
0.0000 0.0000 2.5915
ATOMIC_POSITIONS angstrom
Mn 1.1487 2.1701 0.0000
Mn 2.1701 5.4889 0.0000
Mn 4.4675 1.1487 0.0000
Mn 5.4889 4.4675 0.0000
Fe 0.8163 4.1351 1.2958
Fe 2.5025 0.8163 1.2958
Fe 4.1351 5.8213 1.2958
Fe 5.8213 2.5025 1.2958
Ir 0.0000 0.0000 1.2958
Ir 3.3188 3.3188 1.2958
! **Crystal system**: tetragonal
! **Total magnetization**: 0.01 μB/f.u.
! **Electronic total energy**: -8.725 eV/atom
! **Relative energy among the computed polymorphs**: 0.000 eV/f.u.
! **N(E_F)**: 5.532 states/eV/f.u.

! Mn2FeIr GGA-PBE optimized geometry; values from VASP
&SYSTEM
  ibrav = 0, nat = 4, ntyp = 3
/
ATOMIC_SPECIES
Mn 54.94 Mn.upf
Fe 55.84 Fe.upf
Ir 192.22 Ir.upf
CELL_PARAMETERS angstrom
0.0000 2.9382 2.9382
2.9382 0.0000 2.9382
2.9382 2.9382 0.0000
ATOMIC_POSITIONS angstrom
Mn 1.4691 1.4691 1.4691
Mn 4.4074 4.4074 4.4074
Fe 0.0000 0.0000 0.0000
Ir 2.9382 2.9382 2.9382
! **Crystal system**: cubic
! **Total magnetization**: 7.03 μB/f.u.
! **Electronic total energy**: -8.914 eV/atom
! **Relative energy among the computed polymorphs**: 0.522 eV/f.u.
! **N(E_F)**: 3.892 states/eV/f.u.

! Mn2FeIr GGA-PBE optimized geometry; values from VASP
&SYSTEM
  ibrav = 0, nat = 4, ntyp = 3
/
ATOMIC_SPECIES
Mn 54.94 Mn.upf
Fe 55.84 Fe.upf
Ir 192.22 Ir.upf
CELL_PARAMETERS angstrom
1.3012 0.7513 8.2905
-1.3012 0.7513 8.2905
0.0000 -1.5025 8.2905
ATOMIC_POSITIONS angstrom
Mn 0.0000 0.0000 6.1461
Mn 0.0000 0.0000 18.7253
Fe 0.0000 0.0000 12.4357
Ir 0.0000 0.0000 0.0000
! **Crystal system**: trigonal
! **Total magnetization**: 0.36 μB/f.u.
! **Electronic total energy**: -8.815 eV/atom
! **Relative energy among the computed polymorphs**: 0.919 eV/f.u.
! **N(E_F)**: 5.199 states/eV/f.u.

! MnFe2Ir GGA-PBE optimized geometry; values from VASP
&SYSTEM
  ibrav = 0, nat = 4, ntyp = 3
/
ATOMIC_SPECIES
Mn 54.94 Mn.upf
Fe 55.84 Fe.upf
Ir 192.22 Ir.upf
CELL_PARAMETERS angstrom
-1.4463 2.0970 4.2195
1.4463 -2.0970 4.2195
1.4463 2.0970 -4.2195
ATOMIC_POSITIONS angstrom
Mn 0.0000 0.0000 0.0000
Fe 1.4463 0.0000 2.0910
Fe 0.0000 2.0970 2.1284
Ir 0.0000 0.0000 4.2195
! **Crystal system**: orthorhombic
! **Total magnetization**: 8.35 μB/f.u.
! **Electronic total energy**: -8.739 eV/atom
! **N(E_F)**: 3.996 states/eV/f.u.

! Mn2FeIr GGA-PBE optimized geometry; values from VASP
&SYSTEM
  ibrav = 0, nat = 4, ntyp = 3
/
ATOMIC_SPECIES
Mn 54.94 Mn.upf
Fe 55.84 Fe.upf
Ir 192.22 Ir.upf
CELL_PARAMETERS angstrom
-1.4292 2.1066 4.1727
1.4292 -2.1066 4.1727
1.4292 2.1066 -4.1727
ATOMIC_POSITIONS angstrom
Mn 0.0000 0.0000 2.0435
Mn 0.0000 0.0000 6.3019
Fe 1.4292 0.0000 0.0000
Ir 0.0000 2.1066 0.0000
! **Crystal system**: orthorhombic
! **Total magnetization**: 7.09 μB/f.u.
! **Electronic total energy**: -8.849 eV/atom
! **Relative energy among the computed polymorphs**: 0.783 eV/f.u.
! **N(E_F)**: 5.666 states/eV/f.u.

! MnFe3Ir GGA-PBE optimized geometry; values from VASP
&SYSTEM
  ibrav = 0, nat = 5, ntyp = 3
/
ATOMIC_SPECIES
Mn 54.94 Mn.upf
Fe 55.84 Fe.upf
Ir 192.22 Ir.upf
CELL_PARAMETERS angstrom
4.1265 0.0000 0.0000
0.0000 4.1265 0.0000
0.0000 0.0000 4.1265
ATOMIC_POSITIONS angstrom
Mn 0.0000 0.0000 0.0000
Fe 0.0000 0.0000 2.0633
Fe 0.0000 2.0633 0.0000
Fe 2.0633 0.0000 0.0000
Ir 2.0633 2.0633 2.0633
! **Crystal system**: cubic
! **Total magnetization**: 5.92 μB/f.u.
! **Electronic total energy**: -7.506 eV/atom
! **Relative energy among the computed polymorphs**: 0.000 eV/f.u.
! **N(E_F)**: 6.931 states/eV/f.u.

! MnFe2Ir GGA-PBE optimized geometry; values from VASP
&SYSTEM
  ibrav = 0, nat = 4, ntyp = 3
/
ATOMIC_SPECIES
Mn 54.94 Mn.upf
Fe 55.84 Fe.upf
Ir 192.22 Ir.upf
CELL_PARAMETERS angstrom
2.7276 0.0000 0.0000
0.0000 3.5059 0.0000
0.0000 0.0000 5.2969
ATOMIC_POSITIONS angstrom
Mn 0.0000 0.0000 0.0000
Fe 0.0000 0.0000 2.5709
Fe 1.3638 1.7530 1.2971
Ir 1.3638 1.7530 3.9313
! **Crystal system**: orthorhombic
! **Total magnetization**: 1.97 μB/f.u.
! **Electronic total energy**: -8.779 eV/atom
! **N(E_F)**: 3.684 states/eV/f.u.

! MnFe14Ir GGA-PBE optimized geometry; values from VASP
&SYSTEM
  ibrav = 0, nat = 16, ntyp = 3
/
ATOMIC_SPECIES
Mn 54.94 Mn.upf
Fe 55.84 Fe.upf
Ir 192.22 Ir.upf
CELL_PARAMETERS angstrom
2.8487 -4.0625 0.0000
2.8487 4.0625 0.0000
0.0000 0.0000 8.0947
ATOMIC_POSITIONS angstrom
Mn 0.0000 0.0000 0.0000
Fe 0.0000 0.0000 4.0474
Fe 1.4243 2.0313 0.0000
Fe 1.4243 2.0313 4.0474
Fe 1.3942 0.0000 2.0588
Fe 1.3942 0.0000 6.0359
Fe 2.8487 2.0309 2.0396
Fe 2.8487 2.0309 6.0552
Fe 1.4243 -2.0313 0.0000
Fe 1.4243 -2.0313 4.0474
Fe 2.8487 0.0000 4.0474
Fe 2.8487 -2.0309 2.0396
Fe 2.8487 -2.0309 6.0552
Fe 4.3032 0.0000 2.0588
Fe 4.3032 0.0000 6.0359
Ir 2.8487 0.0000 0.0000
! **Crystal system**: orthorhombic
! **Total magnetization**: 34.13 μB/f.u.
! **Electronic total energy**: -8.520 eV/atom
! **N(E_F)**: 13.969 states/eV/f.u.

! Mn2FeIr GGA-PBE optimized geometry; values from VASP
&SYSTEM
  ibrav = 0, nat = 4, ntyp = 3
/
ATOMIC_SPECIES
Mn 54.94 Mn.upf
Fe 55.84 Fe.upf
Ir 192.22 Ir.upf
CELL_PARAMETERS angstrom
2.6209 0.0000 0.0000
0.0000 3.6663 0.0000
-0.0074 0.0000 5.1587
ATOMIC_POSITIONS angstrom
Mn 0.0000 0.0000 0.0000
Mn 1.3081 1.8332 1.2826
Fe 2.6165 0.0000 2.5600
Ir 1.3048 1.8332 3.8399
! **Crystal system**: monoclinic
! **Total magnetization**: 0.96 μB/f.u.
! **Electronic total energy**: -8.977 eV/atom
! **Relative energy among the computed polymorphs**: 0.269 eV/f.u.
! **N(E_F)**: 3.379 states/eV/f.u.

! Mn4FeIr GGA-PBE optimized geometry; values from VASP
&SYSTEM
  ibrav = 0, nat = 6, ntyp = 3
/
ATOMIC_SPECIES
Mn 54.94 Mn.upf
Fe 55.84 Fe.upf
Ir 192.22 Ir.upf
CELL_PARAMETERS angstrom
0.0000 3.2698 3.2698
3.2698 0.0000 3.2698
3.2698 3.2698 0.0000
ATOMIC_POSITIONS angstrom
Mn 0.8125 0.8125 0.8125
Mn 2.4574 2.4574 0.8125
Mn 2.4574 0.8125 2.4574
Mn 0.8125 2.4574 2.4574
Fe 4.9048 4.9048 4.9048
Ir 3.2698 3.2698 3.2698
! **Crystal system**: cubic
! **Total magnetization**: 3.09 μB/f.u.
! **Electronic total energy**: -8.923 eV/atom
! **N(E_F)**: 6.612 states/eV/f.u.

no.,formation enthalpy at 0 K (eV per atom)
1,-0.0174
2,-0.1287
3,0.1005
4,0.0018
5,0.1012
6,-0.0005
7,0.0672
8,1.1779
9,-0.0399
10,0.0118
11,-0.0615
12,0.0776